# K2SnAu | Alexandria | PBE-GGA | optimized geometry
data_K2SnAu
_cell_length_a 3.8242
_cell_length_b 3.8242
_cell_length_c 11.8593
_cell_angle_alpha 80.72
_cell_angle_beta 80.72
_cell_angle_gamma 60.00
_symmetry_space_group_name_H-M 'P 1'
_symmetry_Int_Tables_number 1
_symmetry_space_group_name_Hall 'P 1'
loop_
_atom_site_label
_atom_site_fract_x
_atom_site_fract_y
_atom_site_fract_z
Sn1 0.0000 0.0000 0.0000
K1 0.0997 0.0997 0.7010
K2 0.9003 0.9003 0.2990
Au1 0.5000 0.5000 0.5000
# symmetry = R-3m
# magnetization = 0.0 μB per formula unit
# ΔH_f (0 K) = 0.093 eV per atom
# D(E_F) = 1.62 states/eV per cell
# E = -9.10 eV per cell



# KSn12Au4 | Alexandria | PBE-GGA | optimized geometry
data_KSn12Au4
_cell_length_a 8.4518
_cell_length_b 8.4518
_cell_length_c 8.4518
_cell_angle_alpha 109.47
_cell_angle_beta 109.47
_cell_angle_gamma 109.47
_symmetry_space_group_name_H-M 'P 1'
_symmetry_Int_Tables_number 1
_symmetry_space_group_name_Hall 'P 1'
loop_
_atom_site_label
_atom_site_fract_x
_atom_site_fract_y
_atom_site_fract_z
Sn1 0.8455 0.3503 0.1959
Sn2 0.8041 0.1545 0.6497
Sn3 0.6497 0.4952 0.8455
Sn4 0.4952 0.8455 0.6497
Sn5 0.6497 0.8041 0.1545
Sn6 0.1959 0.8455 0.3503
Sn7 0.3503 0.5048 0.1545
Sn8 0.1545 0.3503 0.5048
Sn9 0.3503 0.1959 0.8455
Sn10 0.5048 0.1545 0.3503
Sn11 0.8455 0.6497 0.4952
Sn12 0.1545 0.6497 0.8041
Au1 0.5000 0.5000 0.5000
Au2 0.0000 0.0000 0.5000
Au3 0.5000 0.0000 0.0000
Au4 0.0000 0.5000 0.0000
K1 0.0000 0.0000 0.0000
# symmetry = Im-3
# magnetization = 0.0 μB per formula unit
# ΔH_f (0 K) = -0.143 eV per atom
# D(E_F) = 10.41 states/eV per cell
# E = -64.67 eV per cell



# KSn4Au2 | Alexandria | PBE-GGA | optimized geometry
data_KSn4Au2
_cell_length_a 4.8345
_cell_length_b 7.6385
_cell_length_c 19.5892
_cell_angle_alpha 90.00
_cell_angle_beta 90.00
_cell_angle_gamma 90.00
_symmetry_space_group_name_H-M 'P 1'
_symmetry_Int_Tables_number 1
_symmetry_space_group_name_Hall 'P 1'
loop_
_atom_site_label
_atom_site_fract_x
_atom_site_fract_y
_atom_site_fract_z
Sn1 0.2500 0.2629 0.6903
Sn2 0.7500 0.8593 0.4664
Sn3 0.7500 0.1726 0.8173
Sn4 0.2500 0.3593 0.0336
Sn5 0.7500 0.9828 0.0659
Sn6 0.2500 0.1407 0.5336
Sn7 0.7500 0.3274 0.3173
Sn8 0.7500 0.7629 0.8097
Sn9 0.7500 0.5172 0.5659
Sn10 0.7500 0.6407 0.9664
Sn11 0.2500 0.4828 0.4341
Sn12 0.2500 0.2371 0.1903
Sn13 0.2500 0.6726 0.6827
Sn14 0.2500 0.0172 0.9341
Sn15 0.7500 0.7371 0.3097
Sn16 0.2500 0.8274 0.1827
Au1 0.7500 0.2556 0.9629
Au2 0.2500 0.5376 0.2853
Au3 0.7500 0.0376 0.2147
Au4 0.2500 0.9624 0.7853
Au5 0.2500 0.7444 0.0371
Au6 0.7500 0.2444 0.4629
Au7 0.2500 0.7556 0.5371
Au8 0.7500 0.4624 0.7147
K1 0.2500 0.4751 0.8565
K2 0.7500 0.5249 0.1435
K3 0.2500 0.0249 0.3565
K4 0.7500 0.9751 0.6435
# symmetry = Pnma
# magnetization = 0.0 μB per formula unit
# ΔH_f (0 K) = -0.226 eV per atom
# excess energy over the best structure of this formula in the dataset = 0.0 meV per atom
# D(E_F) = 7.34 states/eV per cell
# E = -100.98 eV per cell



# KSn2Au2 | Alexandria | PBE-GGA | optimized geometry
data_KSn2Au2
_cell_length_a 4.9446
_cell_length_b 4.9446
_cell_length_c 6.6194
_cell_angle_alpha 68.07
_cell_angle_beta 68.07
_cell_angle_gamma 90.00
_symmetry_space_group_name_H-M 'P 1'
_symmetry_Int_Tables_number 1
_symmetry_space_group_name_Hall 'P 1'
loop_
_atom_site_label
_atom_site_fract_x
_atom_site_fract_y
_atom_site_fract_z
Au1 0.3724 0.3724 0.2553
Au2 0.6276 0.6276 0.7447
Sn1 0.2500 0.7500 0.5000
Sn2 0.7500 0.2500 0.5000
K1 0.0000 0.0000 0.0000
# symmetry = I4/mmm
# magnetization = 0.0 μB per formula unit
# ΔH_f (0 K) = -0.261 eV per atom
# excess energy over the best structure of this formula in the dataset = 16.4 meV per atom
# D(E_F) = 2.62 states/eV per cell
# E = -16.96 eV per cell



# K3Sn4Au | Alexandria | PBE-GGA | optimized geometry
data_K3Sn4Au
_cell_length_a 6.6558
_cell_length_b 6.8395
_cell_length_c 12.8160
_cell_angle_alpha 90.00
_cell_angle_beta 90.00
_cell_angle_gamma 90.00
_symmetry_space_group_name_H-M 'P 1'
_symmetry_Int_Tables_number 1
_symmetry_space_group_name_Hall 'P 1'
loop_
_atom_site_label
_atom_site_fract_x
_atom_site_fract_y
_atom_site_fract_z
Sn1 0.6714 0.0000 0.6224
Sn2 0.3286 0.5000 0.1224
Sn3 0.0369 0.7364 0.0000
Sn4 0.9631 0.2364 0.5000
Sn5 0.0369 0.2636 0.0000
Sn6 0.9631 0.7636 0.5000
Sn7 0.6714 0.0000 0.3776
Sn8 0.3286 0.5000 0.8776
K1 0.1754 0.0000 0.2481
K2 0.4469 0.5000 0.5000
K3 0.8246 0.5000 0.7481
K4 0.5531 0.0000 0.0000
K5 0.8246 0.5000 0.2519
K6 0.1754 0.0000 0.7519
Au1 0.6844 0.5000 0.0000
Au2 0.3156 0.0000 0.5000
# symmetry = Pmmn
# magnetization = 0.0 μB per formula unit
# ΔH_f (0 K) = -0.346 eV per atom
# E = -50.69 eV per cell



# K2Sn3Au2 | Alexandria | PBE-GGA | optimized geometry
data_K2Sn3Au2
_cell_length_a 4.5549
_cell_length_b 6.6657
_cell_length_c 8.5167
_cell_angle_alpha 119.12
_cell_angle_beta 90.00
_cell_angle_gamma 109.98
_symmetry_space_group_name_H-M 'P 1'
_symmetry_Int_Tables_number 1
_symmetry_space_group_name_Hall 'P 1'
loop_
_atom_site_label
_atom_site_fract_x
_atom_site_fract_y
_atom_site_fract_z
K1 0.1456 0.2913 0.7865
K2 0.8544 0.7087 0.2135
Sn1 0.6355 0.2710 0.4421
Sn2 0.5000 0.0000 0.0000
Sn3 0.3645 0.7290 0.5579
Au1 0.1322 0.2645 0.2258
Au2 0.8678 0.7355 0.7742
# symmetry = C2/m
# magnetization = 0.0 μB per formula unit
# ΔH_f (0 K) = -0.258 eV per atom
# D(E_F) = 2.93 states/eV per cell
# E = -22.57 eV per cell



# K3Sn2Au9 | Alexandria | PBE-GGA | optimized geometry
data_K3Sn2Au9
_cell_length_a 4.7739
_cell_length_b 8.9530
_cell_length_c 8.9530
_cell_angle_alpha 68.86
_cell_angle_beta 74.54
_cell_angle_gamma 74.54
_symmetry_space_group_name_H-M 'P 1'
_symmetry_Int_Tables_number 1
_symmetry_space_group_name_Hall 'P 1'
loop_
_atom_site_label
_atom_site_fract_x
_atom_site_fract_y
_atom_site_fract_z
Au1 0.0000 0.5000 0.5000
Au2 0.3362 0.0246 0.3029
Au3 0.8670 0.4180 0.8480
Au4 0.1330 0.5820 0.1520
Au5 0.8670 0.8480 0.4180
Au6 0.3362 0.3029 0.0246
Au7 0.1330 0.1520 0.5820
Au8 0.6638 0.6971 0.9754
Au9 0.6638 0.9754 0.6971
Sn1 0.5000 0.3033 0.6967
Sn2 0.5000 0.6967 0.3033
K1 0.7084 0.2916 0.2916
K2 0.2916 0.7084 0.7084
K3 0.0000 0.0000 0.0000
# symmetry = Immm
# magnetization = 0.0 μB per formula unit
# ΔH_f (0 K) = -0.185 eV per atom
# D(E_F) = 4.89 states/eV per cell
# E = -43.38 eV per cell



# KSn4Au2 | Alexandria | PBE-GGA | optimized geometry
data_KSn4Au2
_cell_length_a 4.5301
_cell_length_b 9.1440
_cell_length_c 9.1440
_cell_angle_alpha 90.00
_cell_angle_beta 90.00
_cell_angle_gamma 90.00
_symmetry_space_group_name_H-M 'P 1'
_symmetry_Int_Tables_number 1
_symmetry_space_group_name_Hall 'P 1'
loop_
_atom_site_label
_atom_site_fract_x
_atom_site_fract_y
_atom_site_fract_z
Sn1 0.0000 0.9245 0.6702
Sn2 0.0000 0.3298 0.0755
Sn3 0.5000 0.1702 0.5755
Sn4 0.5000 0.8298 0.4245
Sn5 0.5000 0.5755 0.1702
Sn6 0.0000 0.6702 0.9245
Sn7 0.5000 0.4245 0.8298
Sn8 0.0000 0.0755 0.3298
Au1 0.0000 0.7825 0.2175
Au2 0.5000 0.2825 0.2825
Au3 0.0000 0.2175 0.7825
Au4 0.5000 0.7175 0.7175
K1 0.5000 0.0000 0.0000
K2 0.0000 0.5000 0.5000
# symmetry = P4_2/mnm
# magnetization = 0.0 μB per formula unit
# ΔH_f (0 K) = -0.199 eV per atom
# excess energy over the best structure of this formula in the dataset = 27.2 meV per atom
# D(E_F) = 8.07 states/eV per cell
# E = -50.11 eV per cell



# K2Sn7Au | Alexandria | PBE-GGA | optimized geometry
data_K2Sn7Au
_cell_length_a 5.0983
_cell_length_b 5.0983
_cell_length_c 12.4647
_cell_angle_alpha 90.00
_cell_angle_beta 90.00
_cell_angle_gamma 90.00
_symmetry_space_group_name_H-M 'P 1'
_symmetry_Int_Tables_number 1
_symmetry_space_group_name_Hall 'P 1'
loop_
_atom_site_label
_atom_site_fract_x
_atom_site_fract_y
_atom_site_fract_z
K1 0.5000 0.0000 0.7638
K2 0.0000 0.5000 0.2362
Sn1 0.0000 0.5000 0.6346
Sn2 0.5000 0.0000 0.3654
Sn3 0.5000 0.5000 0.5000
Sn4 0.0000 0.0000 0.5000
Sn5 0.0000 0.0000 0.0000
Sn6 0.0000 0.5000 0.8816
Sn7 0.5000 0.0000 0.1184
Au1 0.5000 0.5000 0.0000
# symmetry = P-4m2
# magnetization = 0.0 μB per formula unit
# ΔH_f (0 K) = -0.142 eV per atom
# D(E_F) = 4.07 states/eV per cell
# E = -34.92 eV per cell



# KSn2Au | Alexandria | PBE-GGA | optimized geometry
data_KSn2Au
_cell_length_a 5.2469
_cell_length_b 5.2469
_cell_length_c 5.2469
_cell_angle_alpha 60.00
_cell_angle_beta 60.00
_cell_angle_gamma 60.00
_symmetry_space_group_name_H-M 'P 1'
_symmetry_Int_Tables_number 1
_symmetry_space_group_name_Hall 'P 1'
loop_
_atom_site_label
_atom_site_fract_x
_atom_site_fract_y
_atom_site_fract_z
K1 0.0000 0.0000 0.0000
Sn1 0.2500 0.2500 0.2500
Sn2 0.7500 0.7500 0.7500
Au1 0.5000 0.5000 0.5000
# symmetry = Fm-3m
# magnetization = 0.0 μB per formula unit
# ΔH_f (0 K) = 0.038 eV per atom
# D(E_F) = 0.39 states/eV per cell
# E = -12.23 eV per cell